First-principles (GGA-PBEsol) data for Y2Al2Zn after structural relaxation, as listed in Alexandria.

Its formation enthalpy at 0 K is -406 meV/atom. The calculation puts the calculated density at 4.565 g/cm3. The calculation puts the total energy at -0.374 Ry per atom. Its spin magnetization is 0.000 μB per formula unit. The value obtained for the density of states at the Fermi level is 2.4 states/eV/f.u.

It has space group P4/mbm (No. 127), with a = 6.812 Å, b = 6.812 Å, c = 4.659 Å, α = 90.00°, β = 90.00° and γ = 90.00°. Symmetry generates all atoms from Y at (0.170, 0.330, 0.000), Al at (0.137, 0.637, 0.500) and Zn at (0.000, 0.000, 0.500).